# SrAgCl2 (PBE, relaxed)
# Formation energy (no corrections) ... -4.82 eV/f.u.
# Total moment ... 0.0 μB/f.u.
# E above lowest polymorph ... 0.48 eV/f.u.
# DOS at the Fermi energy ... 0.9 states/eV/cell
data_SrAgCl2
_chemical_formula_sum 'Sr1 Ag1 Cl2'
_symmetry_space_group_name_H-M 'P 1 2/m 1'
_symmetry_Int_Tables_number 10
_symmetry_space_group_name_Hall '-P 2y'
_cell_length_a 4.377
_cell_length_b 4.414
_cell_length_c 5.670
_cell_angle_alpha 90.00
_cell_angle_beta 109.42
_cell_angle_gamma 90.00
loop_
_atom_site_label
_atom_site_fract_x
_atom_site_fract_y
_atom_site_fract_z
Sr1 0.000 0.000 0.000
Ag1 0.000 0.500 0.500
Cl1 0.500 0.000 0.500
Cl2 0.500 0.500 0.000